# 1
# AgPPb

A PBEsol-optimized structure of AgPPb (SCAN, Alexandria via LeMat-Bulk). Values from VASP.

Results
- Space-group type: No. 216
- ρ: 8.3 Mg/m³
- Energy relative to the elements: 76 kJ/mol of formula units

Cell and atoms, written as Quantum ESPRESSO input:
```
&SYSTEM
  ibrav = 0, nat = 3, ntyp = 3
/
ATOMIC_SPECIES
Ag 107.87 Ag.upf
P 30.97 P.upf
Pb 207.20 Pb.upf
ATOMIC_POSITIONS angstrom
Ag 4.6110 2.6622 1.8824
P 2.3055 1.3311 0.9412
Pb 0.0000 0.0000 0.0000
CELL_PARAMETERS angstrom
4.6110 0.0000 0.0000
2.3055 3.9932 0.0000
2.3055 1.3311 3.7649
```

# 2
# Cd4InTe

A PBEsol-optimized structure of Cd4InTe (SCAN, Alexandria via LeMat-Bulk). Values from VASP.

Results
- Space-group type: No. 216
- ρ: 8.0 Mg/m³
- E_form (uncorrected): 0.14 eV/atom

Cell and atoms, written as Quantum ESPRESSO input:
```
&SYSTEM
  ibrav = 0, nat = 6, ntyp = 3
/
ATOMIC_SPECIES
Cd 112.41 Cd.upf
In 114.82 In.upf
Te 127.60 Te.upf
ATOMIC_POSITIONS angstrom
Cd -5.3524 0.3490 0.7348
Cd -7.4892 1.8359 2.0734
Cd -7.9284 0.7317 -0.6017
Cd -7.7284 -1.0583 1.7058
In -10.6869 0.6968 1.4671
Te 0.0000 0.0000 0.0000
CELL_PARAMETERS angstrom
-5.1781 0.7692 -2.6865
-4.7760 -2.8288 1.9518
-4.2952 2.9888 2.6908
```

# 3
# ZrAl2Te

A PBEsol-optimized structure of ZrAl2Te (SCAN, Alexandria via LeMat-Bulk). Values from VASP.

Results
- Space-group type: No. 8
- ρ: 5.6 Mg/m³
- E_form (uncorrected): -0.26 eV/atom

Cell and atoms, written as Quantum ESPRESSO input:
```
&SYSTEM
  ibrav = 0, nat = 4, ntyp = 3
/
ATOMIC_SPECIES
Te 127.60 Te.upf
Al 26.98 Al.upf
Zr 91.22 Zr.upf
ATOMIC_POSITIONS angstrom
Te -3.0977 -0.7114 -1.1381
Al -0.0873 -3.3401 4.0374
Al -1.2085 -1.6992 1.9009
Zr -1.2160 -2.8555 -0.8544
CELL_PARAMETERS angstrom
-2.8200 0.6164 1.9534
-2.9559 -1.6132 -3.7583
2.9371 -3.8637 2.3499
```